First-principles (PBE+U) data for CoWN2F after structural relaxation, as listed in Alexandria.

Properties
energy	-5.563	eV per atom
energy above the most stable polymorph in this dataset	456	meV per atom
DOS at the Fermi energy	0.88	states/eV/cell

The structure in CIF format:
```
data_CoWN2F
_symmetry_space_group_name_H-M 'P 4/m m m'
_symmetry_Int_Tables_number 123
_symmetry_space_group_name_Hall '-P 4 2'
_cell_length_a 3.840
_cell_length_b 3.840
_cell_length_c 3.476
_cell_angle_alpha 90.00
_cell_angle_beta 90.00
_cell_angle_gamma 90.00
loop_
_atom_site_label
_atom_site_type_symbol
_atom_site_fract_x
_atom_site_fract_y
_atom_site_fract_z
Co1 Co 0.000 0.000 0.000
W1 W 0.500 0.500 0.500
N1 N 0.000 0.500 0.000
F1 F 0.000 0.000 0.500
```